The following is a SCAN calculation of a crystal of CdIn2Pb relaxed with PBEsol, from Alexandria.

abc: 3.341 3.341 10.830
angles: 81.13 81.13 60.00
Fractional coordinates of all 4 atoms:
Pb (0.503, 0.503, 0.490)
In (0.997, 0.997, 0.009)
In (0.747, 0.747, 0.760)
Cd (0.253, 0.253, 0.241)

The following is a SCAN calculation of a crystal of CdInPb2 relaxed with PBEsol, from Alexandria.

abc: 3.318 6.321 6.321
angles: 116.58 102.43 102.43
Fractional coordinates of all 4 atoms:
Pb (0.000, 0.500, 0.000)
Pb (0.000, 0.000, 0.500)
In (0.500, 0.500, 0.500)
Cd (0.500, 0.000, 0.000)

Computed properties:
Excess energy over the best structure of this formula in the dataset   16.0 kJ/mol of formula units

The following is a SCAN calculation of a crystal of CdInPb2 relaxed with PBEsol, from Alexandria.

abc: 5.357 5.357 5.357
angles: 60.00 60.00 60.00
Fractional coordinates of all 4 atoms:
Pb (0.000, 0.000, 0.000)
Pb (0.750, 0.750, 0.750)
In (0.250, 0.250, 0.250)
Cd (0.500, 0.500, 0.500)

Computed properties:
Excess energy over the best structure of this formula in the dataset   9.7 kJ/mol of formula units

Number 1: magnetization 0.00 μB per atom, total DFT energy (no corrections) -43.17 eV/atom, formation energy from the elements 0.069 eV/atom. Number 2: magnetization 0.00 μB per atom, total DFT energy (no corrections) -53.74 eV/atom, formation energy from the elements 0.098 eV/atom. Number 3: magnetization 0.00 μB per atom, total DFT energy (no corrections) -53.76 eV/atom, formation energy from the elements 0.082 eV/atom.